Record 1
# SiTcTe2

SiTcTe2 after structural relaxation (GGA-PBE, Alexandria).

E = -4.8016 eV/atom
N(E_F) = 0.98 states/eV per atom
energy relative to the elements, uncorrected = 0.72 eV per atom

a b c (Å): 3.3143 5.2892 9.7983
angles (deg): 90.00 90.00 90.00
Space group Cmmm (No. 65)
Asymmetric unit:
Si1 0.0000 0.0000 0.0000
Tc1 0.0000 0.0000 0.5000
Te1 0.0000 0.5000 0.2791

***

Record 2
# SiTcTe2

SiTcTe2 after structural relaxation (GGA-PBE, Alexandria).

E = -5.3568 eV/atom
N(E_F) = 0.88 states/eV per atom
energy relative to the elements, uncorrected = 0.16 eV per atom

a b c (Å): 4.4906 5.2184 7.4503
angles (deg): 90.00 90.00 90.00
Space group Amm2 (No. 38)
Asymmetric unit:
Si1 0.0000 0.0000 0.0000
Tc1 0.5000 0.0000 0.1393
Te1 0.0000 0.0000 0.3653
Te2 0.5000 0.0000 0.7546

***

Record 3
# SiTcTe2

SiTcTe2 after structural relaxation (GGA-PBE, Alexandria).

E = -5.4521 eV/atom
N(E_F) = 0.66 states/eV per atom
energy relative to the elements, uncorrected = 0.07 eV per atom

a b c (Å): 3.1204 3.8086 16.3677
angles (deg): 90.00 90.00 90.00
Space group Immm (No. 71)
Asymmetric unit:
Si1 0.0000 0.0000 0.0000
Tc1 0.0000 0.0000 0.5000
Te1 0.0000 0.5000 0.1452

***

Record 4
# SiTcTe2

SiTcTe2 after structural relaxation (GGA-PBE, Alexandria).

E = -5.4196 eV/atom
N(E_F) = 0.65 states/eV per atom
energy relative to the elements, uncorrected = 0.10 eV per atom

a b c (Å): 3.3190 3.3190 28.2822
angles (deg): 90.00 90.00 120.00
Space group R3m (No. 160, hexagonal axes)
Asymmetric unit:
Si1 0.0000 0.0000 0.0000
Tc1 0.0000 0.0000 0.2733
Te1 0.0000 0.0000 0.5406
Te2 0.0000 0.0000 0.7410

***

Record 5
# SiTcTe2

SiTcTe2 after structural relaxation (GGA-PBE, Alexandria).

E = -5.0520 eV/atom
N(E_F) = 0.85 states/eV per atom
energy relative to the elements, uncorrected = 0.47 eV per atom

a b c (Å): 3.3438 3.3438 29.0581
angles (deg): 90.00 90.00 120.00
Space group R-3m (No. 166, hexagonal axes)
Asymmetric unit:
Si1 0.0000 0.0000 0.0000
Tc1 0.0000 0.0000 0.5000
Te1 0.0000 0.0000 0.1007

***

Record 6
# SiTcTe2

SiTcTe2 after structural relaxation (GGA-PBE, Alexandria).

E = -5.4263 eV/atom
N(E_F) = 0.98 states/eV per atom
energy relative to the elements, uncorrected = 0.09 eV per atom

a b c (Å): 3.3172 3.3172 7.8500
angles (deg): 90.00 90.00 90.00
Space group P4mm (No. 99)
Asymmetric unit:
Si1 0.0000 0.0000 0.0000
Tc1 0.5000 0.5000 0.1372
Te1 0.0000 0.0000 0.3657
Te2 0.5000 0.5000 0.7843

***

Record 7
# SiTcTe2

SiTcTe2 after structural relaxation (GGA-PBE, Alexandria).

E = -4.9934 eV/atom
N(E_F) = 1.08 states/eV per atom
energy relative to the elements, uncorrected = 0.52 eV per atom

a b c (Å): 6.1281 6.1281 12.0298
angles (deg): 90.00 90.00 90.00
Space group I-42d (No. 122)
Asymmetric unit:
Si1 0.0000 0.0000 0.0000
Tc1 0.0000 0.0000 0.5000
Te1 0.2302 0.2500 0.6250

***

Record 8
# SiTcTe2

SiTcTe2 after structural relaxation (GGA-PBE, Alexandria).

E = -5.0596 eV/atom
N(E_F) = 0.80 states/eV per atom
energy relative to the elements, uncorrected = 0.46 eV per atom

a b c (Å): 7.8143 3.5243 6.4844
angles (deg): 90.00 104.38 90.00
Space group C2/m (No. 12)
Asymmetric unit:
Si1 0.0000 0.0000 0.0000
Tc1 0.0000 0.5000 0.5000
Te1 0.2469 0.0000 0.7254